(1)
Computed, not measured: a PBEsol-optimized structure of Sb2PPb at the meta-GGA SCAN level of DFT.

crystal system = trigonal
energy relative to the elements, uncorrected = 0.122 eV/atom
relative energy among the computed polymorphs = 0.0394 eV per atom

Lattice parameters (Å, degrees): 7.6221 7.6221 7.6221 31.21 31.21 31.21
Fractional coordinates of all 4 atoms:
Sb: 0.0000 0.0000 0.0000
Sb: 0.2544 0.2544 0.2544
P: 0.7464 0.7464 0.7464
Pb: 0.4803 0.4803 0.4803

(2)
Computed, not measured: a PBEsol-optimized structure of TlSbP2Pb at the meta-GGA SCAN level of DFT.

crystal system = tetragonal
energy relative to the elements, uncorrected = 0.811 eV/atom

Lattice parameters (Å, degrees): 5.0846 5.0846 5.5132 90.00 90.00 90.00
Fractional coordinates of all 5 atoms:
Tl: 0.0000 0.0000 0.0000
Sb: 0.0000 0.0000 0.5000
P: 0.0000 0.5000 0.5000
P: 0.5000 0.0000 0.5000
Pb: 0.5000 0.5000 0.0000

(3)
Computed, not measured: a PBEsol-optimized structure of ScPPb3 at the meta-GGA SCAN level of DFT.

crystal system = cubic
E_form = 749.1 meV per atom

Lattice parameters (Å, degrees): 5.4584 5.4584 5.4584 90.00 90.00 90.00
Fractional coordinates of all 5 atoms:
Sc: 0.0000 0.0000 0.0000
P: 0.5000 0.5000 0.5000
Pb: 0.0000 0.0000 0.5000
Pb: 0.0000 0.5000 0.0000
Pb: 0.5000 0.0000 0.0000

(4)
Computed, not measured: a PBEsol-optimized structure of ScPPb2 at the meta-GGA SCAN level of DFT.

crystal system = tetragonal
E_form = -124.2 meV per atom

Lattice parameters (Å, degrees): 5.8519 5.8519 5.8519 137.29 137.29 61.99
Fractional coordinates of all 4 atoms:
Sc: 0.0000 0.0000 0.0000
P: 0.7500 0.2500 0.5000
Pb: 0.2500 0.7500 0.5000
Pb: 0.5000 0.5000 0.0000

(5)
Computed, not measured: a PBEsol-optimized structure of ScPPb2 at the meta-GGA SCAN level of DFT.

crystal system = orthorhombic
E_form = -100.6 meV per atom

Lattice parameters (Å, degrees): 4.7681 4.7681 3.9921 90.00 90.00 90.09
Fractional coordinates of all 4 atoms:
Sc: 0.0000 0.0000 0.0000
P: 0.5000 0.5000 0.0000
Pb: 0.0000 0.5000 0.5000
Pb: 0.5000 0.0000 0.5000

(6)
Computed, not measured: a PBEsol-optimized structure of Sc4PPb at the meta-GGA SCAN level of DFT.

crystal system = cubic
E_form = 130.2 meV per atom

Lattice parameters (Å, degrees): 5.6565 5.6565 5.6565 60.00 60.00 60.00
Fractional coordinates of all 6 atoms:
Sc: 0.1249 0.1249 0.1249
Sc: 0.1249 0.1249 0.6253
Sc: 0.1249 0.6253 0.1249
Sc: 0.6253 0.1249 0.1249
P: 0.5000 0.5000 0.5000
Pb: 0.7500 0.7500 0.7500

(7)
Computed, not measured: a PBEsol-optimized structure of P2PbSe2 at the meta-GGA SCAN level of DFT.

crystal system = tetragonal
energy relative to the elements, uncorrected = 0.346 eV/atom

Lattice parameters (Å, degrees): 5.3861 5.3861 5.3861 122.34 122.34 86.00
Fractional coordinates of all 5 atoms:
P: 0.1355 0.1355 0.0000
P: 0.8645 0.8645 0.0000
Pb: 0.5000 0.5000 0.0000
Se: 0.2500 0.7500 0.5000
Se: 0.7500 0.2500 0.5000

(8)
Computed, not measured: a PBEsol-optimized structure of P2Pb3Se2 at the meta-GGA SCAN level of DFT.

crystal system = trigonal
energy relative to the elements, uncorrected = 0.231 eV/atom

Lattice parameters (Å, degrees): 5.9545 5.9545 5.9545 69.71 69.71 69.71
Fractional coordinates of all 7 atoms:
P: 0.0000 0.0000 0.0000
P: 0.5000 0.5000 0.5000
Pb: 0.0000 0.5000 0.5000
Pb: 0.5000 0.0000 0.5000
Pb: 0.5000 0.5000 0.0000
Se: 0.1747 0.1747 0.1747
Se: 0.8253 0.8253 0.8253

(9)
Computed, not measured: a PBEsol-optimized structure of Si2PPb at the meta-GGA SCAN level of DFT.

crystal system = tetragonal
energy relative to the elements, uncorrected = 0.891 eV/atom

Lattice parameters (Å, degrees): 5.6871 5.6871 5.6871 139.44 139.44 58.70
Fractional coordinates of all 4 atoms:
Si: 0.2500 0.7500 0.5000
Si: 0.7500 0.2500 0.5000
P: 0.0000 0.0000 0.0000
Pb: 0.5000 0.5000 0.0000

(10)
Computed, not measured: a PBEsol-optimized structure of SiP2Pb at the meta-GGA SCAN level of DFT.

crystal system = tetragonal
energy relative to the elements, uncorrected = -0.012 eV/atom

Lattice parameters (Å, degrees): 6.1109 6.1109 6.1109 113.49 113.49 101.70
Fractional coordinates of all 8 atoms:
Si: 0.0000 0.0000 0.0000
Si: 0.7500 0.2500 0.5000
P: 0.0439 0.1250 0.4189
P: 0.3750 0.9561 0.0811
P: 0.7061 0.6250 0.5811
P: 0.8750 0.2939 0.9189
Pb: 0.2500 0.7500 0.5000
Pb: 0.5000 0.5000 0.0000

(11)
Computed, not measured: a PBEsol-optimized structure of SrPPb2 at the meta-GGA SCAN level of DFT.

crystal system = orthorhombic
E_form = -384.4 meV per atom

Lattice parameters (Å, degrees): 4.7723 4.7723 5.2148 90.00 90.00 100.29
Fractional coordinates of all 4 atoms:
Sr: 0.0000 0.0000 0.0000
P: 0.5000 0.5000 0.0000
Pb: 0.3011 0.6989 0.5000
Pb: 0.6989 0.3011 0.5000

(12)
Computed, not measured: a PBEsol-optimized structure of SrPPb at the meta-GGA SCAN level of DFT.

crystal system = hexagonal
E_form = -507.6 meV per atom

Lattice parameters (Å, degrees): 4.7922 4.7922 8.5610 90.00 90.00 120.00
Fractional coordinates of all 6 atoms:
Sr: 0.0000 0.0000 0.0000
Sr: 0.0000 0.0000 0.5000
P: 0.3333 0.6667 0.2500
P: 0.6667 0.3333 0.7500
Pb: 0.3333 0.6667 0.7500
Pb: 0.6667 0.3333 0.2500

(13)
Computed, not measured: a PBEsol-optimized structure of SrP2Pb at the meta-GGA SCAN level of DFT.

crystal system = orthorhombic
E_form = -288.6 meV per atom

Lattice parameters (Å, degrees): 5.9691 5.9691 5.9691 146.26 129.16 62.42
Fractional coordinates of all 4 atoms:
Sr: 0.0000 0.0000 0.0000
P: 0.2928 0.7928 0.5000
P: 0.4536 0.4536 0.0000
Pb: 0.7139 0.2139 0.5000

(14)
Computed, not measured: a PBEsol-optimized structure of SrPPb2 at the meta-GGA SCAN level of DFT.

crystal system = tetragonal
E_form = -321.4 meV per atom

Lattice parameters (Å, degrees): 6.3436 6.3436 6.3436 139.29 139.29 58.94
Fractional coordinates of all 4 atoms:
Sr: 0.0000 0.0000 0.0000
P: 0.5000 0.5000 0.0000
Pb: 0.2500 0.7500 0.5000
Pb: 0.7500 0.2500 0.5000

(15)
Computed, not measured: a PBEsol-optimized structure of SrP3Pb at the meta-GGA SCAN level of DFT.

crystal system = cubic
E_form = 1117.8 meV per atom

Lattice parameters (Å, degrees): 5.2656 5.2656 5.2656 90.00 90.00 90.00
Fractional coordinates of all 5 atoms:
Sr: 0.0000 0.0000 0.0000
P: 0.0000 0.0000 0.5000
P: 0.0000 0.5000 0.0000
P: 0.5000 0.0000 0.0000
Pb: 0.5000 0.5000 0.5000

(16)
Computed, not measured: a PBEsol-optimized structure of Sr2PPb at the meta-GGA SCAN level of DFT.

crystal system = tetragonal
E_form = -671.3 meV per atom

Lattice parameters (Å, degrees): 5.6900 5.6900 5.6900 127.41 127.41 77.59
Fractional coordinates of all 4 atoms:
Sr: 0.2500 0.7500 0.5000
Sr: 0.7500 0.2500 0.5000
P: 0.0000 0.0000 0.0000
Pb: 0.5000 0.5000 0.0000

(17)
Computed, not measured: a PBEsol-optimized structure of Sr2TcPPb at the meta-GGA SCAN level of DFT.

crystal system = tetragonal
E_form = 665.0 meV per atom

Lattice parameters (Å, degrees): 6.0301 6.0301 5.0592 90.00 90.00 90.00
Fractional coordinates of all 5 atoms:
Sr: 0.0000 0.5000 0.0000
Sr: 0.5000 0.0000 0.0000
Tc: 0.0000 0.0000 0.5000
P: 0.5000 0.5000 0.5000
Pb: 0.0000 0.0000 0.0000

(18)
Computed, not measured: a PBEsol-optimized structure of SrYP2Pb at the meta-GGA SCAN level of DFT.

crystal system = tetragonal
E_form = -266.8 meV per atom

Lattice parameters (Å, degrees): 5.2182 5.2182 5.6481 90.00 90.00 90.00
Fractional coordinates of all 5 atoms:
Sr: 0.0000 0.0000 0.0000
Y: 0.5000 0.5000 0.5000
P: 0.0000 0.5000 0.5000
P: 0.5000 0.0000 0.5000
Pb: 0.5000 0.5000 0.0000

(19)
Computed, not measured: a PBEsol-optimized structure of Ta2PPb at the meta-GGA SCAN level of DFT.

crystal system = orthorhombic
relative energy among the computed polymorphs = 0.0378 eV per atom
E_form = 103.6 meV per atom

Lattice parameters (Å, degrees): 4.7063 5.3893 5.3893 33.64 90.00 90.00
Fractional coordinates of all 4 atoms:
Ta: 0.0000 0.0000 0.0000
Ta: 0.5000 0.3794 0.3794
P: 0.0000 0.3091 0.3091
Pb: 0.5000 0.6448 0.6448

(20)
Computed, not measured: a PBEsol-optimized structure of Ta2PPb at the meta-GGA SCAN level of DFT.

crystal system = tetragonal
relative energy among the computed polymorphs = 0.4651 eV per atom
E_form = 530.9 meV per atom

Lattice parameters (Å, degrees): 5.2662 5.2662 5.2662 135.10 135.10 65.37
Fractional coordinates of all 4 atoms:
Ta: 0.0000 0.0000 0.0000
Ta: 0.7500 0.2500 0.5000
P: 0.5000 0.5000 0.0000
Pb: 0.2500 0.7500 0.5000

(21)
Computed, not measured: a PBEsol-optimized structure of TaPPb2 at the meta-GGA SCAN level of DFT.

crystal system = cubic
E_form = 863.8 meV per atom

Lattice parameters (Å, degrees): 4.9573 4.9573 4.9573 60.00 60.00 60.00
Fractional coordinates of all 4 atoms:
Ta: 0.0000 0.0000 0.0000
P: 0.2500 0.2500 0.2500
Pb: 0.5000 0.5000 0.5000
Pb: 0.7500 0.7500 0.7500

(22)
Computed, not measured: a PBEsol-optimized structure of Ta2PPb at the meta-GGA SCAN level of DFT.

crystal system = cubic
relative energy among the computed polymorphs = 0.6017 eV per atom
E_form = 667.5 meV per atom

Lattice parameters (Å, degrees): 4.7054 4.7054 4.7054 60.00 60.00 60.00
Fractional coordinates of all 4 atoms:
Ta: 0.0000 0.0000 0.0000
Ta: 0.2500 0.2500 0.2500
P: 0.5000 0.5000 0.5000
Pb: 0.7500 0.7500 0.7500

(23)
Computed, not measured: a PBEsol-optimized structure of TaPPb at the meta-GGA SCAN level of DFT.

crystal system = cubic
E_form = 704.2 meV per atom

Lattice parameters (Å, degrees): 4.5305 4.5305 4.5305 60.00 60.00 60.00
Fractional coordinates of all 3 atoms:
Ta: 0.0000 0.0000 0.0000
P: 0.7500 0.7500 0.7500
Pb: 0.2500 0.2500 0.2500

(24)
Computed, not measured: a PBEsol-optimized structure of Ta2PPb at the meta-GGA SCAN level of DFT.

crystal system = orthorhombic
relative energy among the computed polymorphs = 0.0000 eV per atom
E_form = 65.8 meV per atom

Lattice parameters (Å, degrees): 2.9621 2.9621 9.6013 90.00 90.00 106.05
Fractional coordinates of all 4 atoms:
Ta: 0.0000 0.0000 0.0000
Ta: 0.5000 0.5000 0.2251
P: 0.0000 0.0000 0.4043
Pb: 0.5000 0.5000 0.7365

(25)
Computed, not measured: a PBEsol-optimized structure of Tc2PPb at the meta-GGA SCAN level of DFT.

crystal system = tetragonal
relative energy among the computed polymorphs = 0.1939 eV per atom
E_form = 213.6 meV per atom

Lattice parameters (Å, degrees): 3.2134 3.2134 6.3710 90.00 90.00 90.00
Fractional coordinates of all 4 atoms:
Tc: 0.0000 0.0000 0.0000
Tc: 0.5000 0.5000 0.2695
P: 0.0000 0.0000 0.3781
Pb: 0.5000 0.5000 0.7295

(26)
Computed, not measured: a PBEsol-optimized structure of Tc2PPb at the meta-GGA SCAN level of DFT.

crystal system = trigonal
relative energy among the computed polymorphs = 0.0000 eV per atom
E_form = 19.6 meV per atom

Lattice parameters (Å, degrees): 6.8648 6.8648 6.8648 29.80 29.80 29.80
Fractional coordinates of all 4 atoms:
Tc: 0.2184 0.2184 0.2184
Tc: 0.7816 0.7816 0.7816
P: 0.5000 0.5000 0.5000
Pb: 0.0000 0.0000 0.0000

(27)
Computed, not measured: a PBEsol-optimized structure of TePPb2 at the meta-GGA SCAN level of DFT.

crystal system = tetragonal
energy relative to the elements, uncorrected = 0.198 eV/atom
relative energy among the computed polymorphs = 0.1771 eV per atom

Lattice parameters (Å, degrees): 3.5201 3.5201 8.3861 90.00 90.00 90.00
Fractional coordinates of all 4 atoms:
Te: 0.0000 0.0000 0.0000
P: 0.0000 0.0000 0.5000
Pb: 0.5000 0.5000 0.2971
Pb: 0.5000 0.5000 0.7029

(28)
Computed, not measured: a PBEsol-optimized structure of TePPb3 at the meta-GGA SCAN level of DFT.

crystal system = cubic
energy relative to the elements, uncorrected = 0.927 eV/atom

Lattice parameters (Å, degrees): 5.8126 5.8126 5.8126 90.00 90.00 90.00
Fractional coordinates of all 5 atoms:
Te: 0.0000 0.0000 0.0000
P: 0.5000 0.5000 0.5000
Pb: 0.0000 0.0000 0.5000
Pb: 0.0000 0.5000 0.0000
Pb: 0.5000 0.0000 0.0000

(29)
Computed, not measured: a PBEsol-optimized structure of TePPb at the meta-GGA SCAN level of DFT.

crystal system = cubic
energy relative to the elements, uncorrected = 0.688 eV/atom
relative energy among the computed polymorphs = 0.6193 eV per atom

Lattice parameters (Å, degrees): 4.9942 4.9942 4.9942 60.00 60.00 60.00
Fractional coordinates of all 3 atoms:
Te: 0.0000 0.0000 0.0000
P: 0.5000 0.5000 0.5000
Pb: 0.2500 0.2500 0.2500

| no. | total magnetic moment (μB/f.u.) |
| --- | --- |
| 1 | 0.00 |
| 2 | 0.00 |
| 3 | 0.00 |
| 4 | 0.00 |
| 5 | 0.00 |
| 6 | 0.01 |
| 7 | 0.00 |
| 8 | 0.00 |
| 9 | 0.00 |
| 10 | 0.00 |
| 11 | 0.00 |
| 12 | 0.00 |
| 13 | 0.00 |
| 14 | 0.00 |
| 15 | 0.00 |
| 16 | 0.00 |
| 17 | 3.63 |
| 18 | 0.00 |
| 19 | 0.00 |
| 20 | 0.00 |
| 21 | 1.47 |
| 22 | 0.00 |
| 23 | 0.00 |
| 24 | 0.00 |
| 25 | 0.01 |
| 26 | 0.00 |
| 27 | 0.00 |
| 28 | 0.00 |
| 29 | 0.00 |